# SrTbVN3 (PBE-GGA, relaxed)
# mass density = 6.4 Mg/m³
# crystal system = monoclinic
# raw formation energy = -1.0447 eV/atom
data_SrTbVN3
_chemical_formula_sum 'Sr4 Tb4 V4 N12'
_space_group_name_H-M_alt 'C 1 2/m 1'
_space_group_IT_number 12
_space_group_name_Hall '-C 2y'
_cell_length_a 13.1997
_cell_length_b 3.8239
_cell_length_c 7.2505
_cell_angle_alpha 90.00
_cell_angle_beta 105.47
_cell_angle_gamma 90.00
loop_
_atom_site_label
_atom_site_type_symbol
_atom_site_fract_x
_atom_site_fract_y
_atom_site_fract_z
Sr1 Sr 0.1466 0.0000 0.0746
Tb1 Tb 0.1556 0.0000 0.5774
V1 V 0.0002 0.5000 0.2975
N1 N 0.0038 0.0000 0.3092
N2 N 0.1470 0.5000 0.8089
N3 N 0.1563 0.5000 0.3419